--- 1 ---
An optimized crystal structure of Dy4Sb2Te, computed with PBE.

Unit cell a=7.9423 b=7.9423 c=7.9423 alpha=109.60 beta=109.21 gamma=109.60
Closest atoms and distances in Å follow each position.
Fractional coordinates of all 14 atoms:
Sb: 0.5008 0.3758 0.6250  8 Dy 3.06-3.28
Dy: 0.9806 0.6040 0.7320  4 Sb 3.06-3.28, 2 Te 3.07-3.31
Sb: 0.8750 0.1242 0.4992  8 Dy 3.06-3.28
Te: 0.0000 0.0000 0.0000  8 Dy 3.07-3.31
Dy: 0.1280 0.3960 0.3766  4 Sb 3.06-3.28, 2 Te 3.07-3.31
Dy: 0.4820 0.1040 0.2306  4 Sb 3.06-3.28, 2 Te 3.07-3.31
Sb: 0.2492 0.6242 0.1250  8 Dy 3.06-3.28
Dy: 0.7694 0.2514 0.8734  4 Sb 3.06-3.28, 2 Te 3.07-3.31
Dy: 0.2680 0.2486 0.8720  4 Sb 3.06-3.28, 2 Te 3.07-3.31
Sb: 0.3750 0.8758 0.7508  8 Dy 3.06-3.28
Dy: 0.6220 0.7486 0.5180  4 Sb 3.06-3.28, 2 Te 3.07-3.31
Dy: 0.6234 0.7514 0.0194  4 Sb 3.06-3.28, 2 Te 3.07-3.31
Dy: 0.1266 0.8960 0.3780  4 Sb 3.06-3.28, 2 Te 3.07-3.31
Te: 0.7500 0.5000 0.2500  8 Dy 3.07-3.31

Space-group type: No. 122
Theoretical density (g/cm3): 8.79

***

--- 2 ---
An optimized crystal structure of Dy4Sb2Te, computed with PBE.

Unit cell a=7.6497 b=6.7318 c=9.3264 alpha=90.00 beta=116.51 gamma=90.00
Closest atoms and distances in Å follow each position.
Fractional coordinates of all 14 atoms:
Sb: 0.2720 0.2500 0.4268  6 Dy 3.08-3.21
Sb: 0.3649 0.2500 0.9451  6 Dy 3.12-3.34, 1 Te 3.48
Dy: 0.5027 0.5031 0.7347  1 Te 3.04, 4 Sb 3.12-3.21, 1 Dy 3.32
Dy: 0.8441 0.2500 0.1553  1 Te 2.96, 2 Sb 3.12-3.30
Dy: 0.4973 0.4969 0.2653  1 Te 3.04, 4 Sb 3.12-3.21, 1 Dy 3.32
Dy: 0.4973 0.0031 0.2653  1 Te 3.04, 4 Sb 3.12-3.21, 1 Dy 3.32
Dy: 0.0115 0.7500 0.4202  1 Te 3.02, 2 Sb 3.08-3.34
Sb: 0.6351 0.7500 0.0549  6 Dy 3.12-3.34, 1 Te 3.48
Te: 0.1306 0.7500 0.1522  4 Dy 2.96-3.04
Dy: 0.1559 0.7500 0.8447  1 Te 2.96, 2 Sb 3.12-3.30
Te: 0.8694 0.2500 0.8478  4 Dy 2.96-3.04
Dy: 0.5027 0.9969 0.7347  1 Te 3.04, 4 Sb 3.12-3.21, 1 Dy 3.32
Sb: 0.7280 0.7500 0.5732  6 Dy 3.08-3.21
Dy: 0.9885 0.2500 0.5798  1 Te 3.02, 2 Sb 3.08-3.34

Space-group type: No. 11
Theoretical density (g/cm3): 7.89

***

It comes down to 1, which is 203 meV/atom more stable than the next structure.

***

--- 1 ---
An optimized crystal structure of Dy4Sb3Te, computed with PBE.

Unit cell a=6.1873 b=6.1873 c=6.1873 alpha=90.00 beta=90.00 gamma=90.00
Closest atoms and distances in Å follow each position.
Fractional coordinates of all 8 atoms:
Dy: 0.5000 0.5000 0.5000  6 Sb 3.09
Sb: 0.0000 0.5000 0.5000  6 Dy 3.09
Te: 0.0000 0.0000 0.0000  6 Dy 3.09
Dy: 0.0000 0.5000 0.0000  4 Sb 3.09, 2 Te 3.09
Sb: 0.5000 0.0000 0.5000  6 Dy 3.09
Dy: 0.5000 0.0000 0.0000  4 Sb 3.09, 2 Te 3.09
Dy: 0.0000 0.0000 0.5000  4 Sb 3.09, 2 Te 3.09
Sb: 0.5000 0.5000 0.0000  6 Dy 3.09

Space-group type: No. 221
Theoretical density (g/cm3): 8.01

***

--- 2 ---
An optimized crystal structure of Dy4Sb3Te, computed with PBE.

Unit cell a=4.3783 b=6.1904 c=8.7583 alpha=90.00 beta=90.00 gamma=90.00
Closest atoms and distances in Å follow each position.
Fractional coordinates of all 8 atoms:
Sb: 0.5000 0.5000 0.2483  6 Dy 3.09-3.11
Sb: 0.0000 0.0000 0.5000  6 Dy 3.05-3.10
Sb: 0.5000 0.5000 0.7517  6 Dy 3.09-3.11
Dy: 0.0000 0.5000 0.0000  4 Sb 3.09, 2 Te 3.10
Dy: 0.5000 0.0000 0.2578  4 Sb 3.05-3.10, 2 Te 3.14
Dy: 0.0000 0.5000 0.5000  6 Sb 3.10-3.11
Dy: 0.5000 0.0000 0.7422  4 Sb 3.05-3.10, 2 Te 3.14
Te: 0.0000 0.0000 0.0000  6 Dy 3.10-3.14

Space-group type: No. 47
Theoretical density (g/cm3): 7.99

***

It comes down to 2, which is 9 meV/atom more stable than the next structure.

***

--- 1 ---
An optimized crystal structure of Dy3TmSb3, computed with PBE.

Unit cell a=8.9067 b=8.9067 c=8.0035 alpha=56.19 beta=56.19 gamma=60.00
Closest atoms and distances in Å follow each position.
Fractional coordinates of all 14 atoms:
Sb: 0.9224 0.5274 0.2448  5 Dy 3.05-3.27, 2 Tm 3.11-3.16
Dy: 0.6575 0.9127 0.2533  5 Sb 3.05-3.27
Sb: 0.5274 0.3054 0.2448  5 Dy 3.05-3.27, 2 Tm 3.11-3.16
Sb: 0.6946 0.0776 0.7552  5 Dy 3.05-3.27, 2 Tm 3.11-3.16
Dy: 0.0873 0.8235 0.7467  5 Sb 3.05-3.27
Dy: 0.9127 0.1765 0.2533  5 Sb 3.05-3.27
Dy: 0.8235 0.3425 0.7467  5 Sb 3.05-3.27
Tm: 0.6664 0.6664 0.0009  6 Sb 3.11-3.16
Sb: 0.0776 0.4726 0.7552  5 Dy 3.05-3.27, 2 Tm 3.11-3.16
Dy: 0.3425 0.0873 0.7467  5 Sb 3.05-3.27
Dy: 0.1765 0.6575 0.2533  5 Sb 3.05-3.27
Sb: 0.4726 0.6946 0.7552  5 Dy 3.05-3.27, 2 Tm 3.11-3.16
Sb: 0.3054 0.9224 0.2448  5 Dy 3.05-3.27, 2 Tm 3.11-3.16
Tm: 0.3336 0.3336 0.9991  6 Sb 3.11-3.16

Space-group type: No. 148
Theoretical density (g/cm3): 8.05

***

--- 2 ---
An optimized crystal structure of Dy3TmSb3, computed with PBE.

Unit cell a=9.1635 b=9.1635 c=9.1635 alpha=90.00 beta=90.00 gamma=90.00
Closest atoms and distances in Å follow each position.
Fractional coordinates of all 28 atoms:
Tm: 0.0732 0.5732 0.9268  6 Sb 3.05-3.28
Sb: 0.1261 0.5008 0.2477  2 Tm 3.05-3.28, 6 Dy 3.07-3.29
Sb: 0.8739 0.0008 0.2523  2 Tm 3.05-3.28, 6 Dy 3.07-3.29
Dy: 0.5708 0.0708 0.4292  6 Sb 3.07-3.28
Dy: 0.8222 0.6778 0.3222  6 Sb 3.07-3.29
Sb: 0.6261 0.9992 0.7523  2 Tm 3.05-3.28, 6 Dy 3.07-3.29
Sb: 0.2523 0.8739 0.0008  2 Tm 3.05-3.28, 6 Dy 3.07-3.29
Sb: 0.7523 0.6261 0.9992  2 Tm 3.05-3.28, 6 Dy 3.07-3.29
Dy: 0.6778 0.3222 0.8222  6 Sb 3.07-3.29
Sb: 0.5008 0.2477 0.1261  2 Tm 3.05-3.28, 6 Dy 3.07-3.29
Dy: 0.3232 0.1768 0.8232  6 Sb 3.07-3.28
Tm: 0.9268 0.0732 0.5732  6 Sb 3.05-3.28
Sb: 0.2477 0.1261 0.5008  2 Tm 3.05-3.28, 6 Dy 3.07-3.29
Sb: 0.0008 0.2523 0.8739  2 Tm 3.05-3.28, 6 Dy 3.07-3.29
Sb: 0.4992 0.7477 0.3739  2 Tm 3.05-3.28, 6 Dy 3.07-3.29
Dy: 0.6768 0.6768 0.6768  6 Sb 3.07-3.28
Dy: 0.9292 0.9292 0.9292  6 Sb 3.07-3.28
Dy: 0.1778 0.1778 0.1778  6 Sb 3.07-3.29
Dy: 0.4292 0.5708 0.0708  6 Sb 3.07-3.28
Sb: 0.3739 0.4992 0.7477  2 Tm 3.05-3.28, 6 Dy 3.07-3.29
Sb: 0.9992 0.7523 0.6261  2 Tm 3.05-3.28, 6 Dy 3.07-3.29
Dy: 0.1768 0.8232 0.3232  6 Sb 3.07-3.28
Dy: 0.8232 0.3232 0.1768  6 Sb 3.07-3.28
Tm: 0.5732 0.9268 0.0732  6 Sb 3.05-3.28
Dy: 0.3222 0.8222 0.6778  6 Sb 3.07-3.29
Dy: 0.0708 0.4292 0.5708  6 Sb 3.07-3.28
Tm: 0.4268 0.4268 0.4268  6 Sb 3.05-3.28
Sb: 0.7477 0.3739 0.4992  2 Tm 3.05-3.28, 6 Dy 3.07-3.29

Space-group type: No. 198
Theoretical density (g/cm3): 8.82

***

It comes down to 2, which is 88 meV/atom more stable than the next structure.